1.
## Ce2DyPaSe4 (PBE-GGA)

Data for a geometry-optimized Ce2DyPaSe4 structure.

Geometry as CIF:
```
data_Ce2DyPaSe4
_space_group_name_H-M_alt 'P 1 2/m 1'
_space_group_IT_number 10
_cell_length_a 7.150
_cell_length_b 4.104
_cell_length_c 7.188
_cell_angle_alpha 90.00
_cell_angle_beta 109.12
_cell_angle_gamma 90.00
loop_
_space_group_symop_operation_xyz
'x,y,z'
'-x,-y,-z'
'-x,y,-z'
'x,-y,z'
loop_
_atom_site_label
_atom_site_fract_x
_atom_site_fract_y
_atom_site_fract_z
Ce1 0.000 0.000 0.000
Ce2 0.000 0.500 0.500
Dy1 0.500 0.000 0.500
Pa1 0.500 0.500 0.000
Se1 0.258 0.000 0.750
Se2 0.260 0.500 0.255
```

- Magnetization: 2.0 μB/f.u.
- DFT total energy: -53.07 eV per cell
- Formation energy without anion corrections: -1645 meV/atom
- DOS at the Fermi energy: 15.86 states/eV per cell
- V: 199 Å³ per cell

2.
## Ce2DyPaSe5 (PBE-GGA)

Data for a geometry-optimized Ce2DyPaSe5 structure.

Geometry as CIF:
```
data_Ce2DyPaSe5
_space_group_name_H-M_alt 'P 4/m m m'
_space_group_IT_number 123
_space_group_name_Hall '-P 4 2'
_cell_length_a 5.214
_cell_length_b 5.214
_cell_length_c 10.765
_cell_angle_alpha 90.00
_cell_angle_beta 90.00
_cell_angle_gamma 90.00
loop_
_atom_site_label
_atom_site_fract_x
_atom_site_fract_y
_atom_site_fract_z
Ce1 0.000 0.000 0.195
Dy1 0.500 0.500 0.500
Pa1 0.500 0.500 0.000
Se1 0.000 0.000 0.500
Se2 0.000 0.500 0.000
Se3 0.500 0.500 0.256
```

- Magnetization: 4.8 μB/f.u.
- DFT total energy: -53.09 eV per cell
- Formation energy without anion corrections: -1078 meV/atom
- DOS at the Fermi energy: 19.65 states/eV per cell
- V: 293 Å³ per cell

3.
## Ce2DyPaTc2 (PBE-GGA)

Data for a geometry-optimized Ce2DyPaTc2 structure.

Geometry as CIF:
```
data_Ce2DyPaTc2
_space_group_name_H-M_alt 'P m c 21'
_space_group_IT_number 26
_cell_length_a 4.214
_cell_length_b 9.590
_cell_length_c 7.030
_cell_angle_alpha 90.00
_cell_angle_beta 90.00
_cell_angle_gamma 90.00
loop_
_space_group_symop_operation_xyz
'x,y,z'
'-x,-y,z+1/2'
'-x,y,z'
'x,-y,z+1/2'
loop_
_atom_site_label
_atom_site_fract_x
_atom_site_fract_y
_atom_site_fract_z
Ce1 0.000 0.081 0.000
Ce2 0.500 0.161 0.258
Dy1 0.500 0.440 0.954
Pa1 0.000 0.293 0.595
Tc1 0.000 0.375 0.266
Tc2 0.500 0.166 0.727
```

- Magnetization: 0.0 μB/f.u.
- DFT total energy: -94.74 eV per cell
- Energy of formation from the pure elements: -0.11 eV per atom
- DOS at the Fermi energy: 17.78 states/eV per cell
- V: 284 Å³ per cell

4.
## CeDyPaTc (PBE-GGA)

Data for a geometry-optimized CeDyPaTc structure.

Geometry as CIF:
```
data_CeDyPaTc
_space_group_name_H-M_alt 'F -4 3 m'
_space_group_IT_number 216
_space_group_name_Hall 'F -4 2 3'
_cell_length_a 7.098
_cell_length_b 7.098
_cell_length_c 7.098
_cell_angle_alpha 90.00
_cell_angle_beta 90.00
_cell_angle_gamma 90.00
loop_
_atom_site_label
_atom_site_fract_x
_atom_site_fract_y
_atom_site_fract_z
Ce1 0.000 0.000 0.000
Dy1 0.250 0.250 0.750
Pa1 0.250 0.250 0.250
Tc1 0.000 0.000 0.500
```

- Magnetization: 0.0 μB/f.u.
- DFT total energy: -119.43 eV per cell
- Energy of formation from the pure elements: 0.13 eV per atom
- DOS at the Fermi energy: 37.63 states/eV per cell
- V: 358 Å³ per cell

5.
## CeDyThPa (PBE-GGA)

Data for a geometry-optimized CeDyThPa structure.

Geometry as CIF:
```
data_CeDyThPa
_space_group_name_H-M_alt 'F -4 3 m'
_space_group_IT_number 216
_space_group_name_Hall 'F -4 2 3'
_cell_length_a 7.741
_cell_length_b 7.741
_cell_length_c 7.741
_cell_angle_alpha 90.00
_cell_angle_beta 90.00
_cell_angle_gamma 90.00
loop_
_atom_site_label
_atom_site_fract_x
_atom_site_fract_y
_atom_site_fract_z
Ce1 0.000 0.000 0.000
Dy1 0.250 0.250 0.250
Th1 0.000 0.000 0.500
Pa1 0.250 0.250 0.750
```

- Magnetization: 0.0 μB/f.u.
- DFT total energy: -104.66 eV per cell
- Energy of formation from the pure elements: 0.32 eV per atom
- DOS at the Fermi energy: 49.51 states/eV per cell
- V: 464 Å³ per cell

6.
## CeDyTmPa (PBE-GGA)

Data for a geometry-optimized CeDyTmPa structure.

Geometry as CIF:
```
data_CeDyTmPa
_space_group_name_H-M_alt 'F -4 3 m'
_space_group_IT_number 216
_space_group_name_Hall 'F -4 2 3'
_cell_length_a 7.786
_cell_length_b 7.786
_cell_length_c 7.786
_cell_angle_alpha 90.00
_cell_angle_beta 90.00
_cell_angle_gamma 90.00
loop_
_atom_site_label
_atom_site_fract_x
_atom_site_fract_y
_atom_site_fract_z
Ce1 0.000 0.000 0.000
Dy1 0.000 0.000 0.500
Tm1 0.250 0.250 0.250
Pa1 0.250 0.250 0.750
```

- Magnetization: 4.5 μB/f.u.
- DFT total energy: -92.26 eV per cell
- Energy of formation from the pure elements: 0.36 eV per atom
- DOS at the Fermi energy: 44.83 states/eV per cell
- V: 472 Å³ per cell

7.
## CeDyZrPa (PBE-GGA)

Data for a geometry-optimized CeDyZrPa structure.

Geometry as CIF:
```
data_CeDyZrPa
_space_group_name_H-M_alt 'F -4 3 m'
_space_group_IT_number 216
_space_group_name_Hall 'F -4 2 3'
_cell_length_a 7.488
_cell_length_b 7.488
_cell_length_c 7.488
_cell_angle_alpha 90.00
_cell_angle_beta 90.00
_cell_angle_gamma 90.00
loop_
_atom_site_label
_atom_site_fract_x
_atom_site_fract_y
_atom_site_fract_z
Ce1 0.000 0.000 0.000
Dy1 0.250 0.250 0.250
Zr1 0.000 0.000 0.500
Pa1 0.250 0.250 0.750
```

- Magnetization: 0.0 μB/f.u.
- DFT total energy: -109.86 eV per cell
- Energy of formation from the pure elements: 0.28 eV per atom
- DOS at the Fermi energy: 43.23 states/eV per cell
- V: 420 Å³ per cell

8.
## CeDy2Pb9 (PBE-GGA)

Data for a geometry-optimized CeDy2Pb9 structure.

Geometry as CIF:
```
data_CeDy2Pb9
_space_group_name_H-M_alt 'P 4/m m m'
_space_group_IT_number 123
_space_group_name_Hall '-P 4 2'
_cell_length_a 4.899
_cell_length_b 4.899
_cell_length_c 14.656
_cell_angle_alpha 90.00
_cell_angle_beta 90.00
_cell_angle_gamma 90.00
loop_
_atom_site_label
_atom_site_fract_x
_atom_site_fract_y
_atom_site_fract_z
Ce1 0.000 0.000 0.000
Dy1 0.000 0.000 0.329
Pb1 0.000 0.500 0.168
Pb2 0.000 0.500 0.500
Pb3 0.500 0.500 0.000
Pb4 0.500 0.500 0.335
```

- Magnetization: 1.0 μB/f.u.
- DFT total energy: -52.13 eV per cell
- Energy of formation from the pure elements: -0.30 eV per atom
- DOS at the Fermi energy: 11.14 states/eV per cell
- V: 352 Å³ per cell

9.
## CeDyPb (PBE-GGA)

Data for a geometry-optimized CeDyPb structure.

Geometry as CIF:
```
data_CeDyPb
_space_group_name_H-M_alt 'P 3 m 1'
_space_group_IT_number 156
_cell_length_a 5.3848
_cell_length_b 5.3848
_cell_length_c 3.6422
_cell_angle_alpha 90.00
_cell_angle_beta 90.00
_cell_angle_gamma 120.00
loop_
_space_group_symop_operation_xyz
'x,y,z'
'-y,x-y,z'
'-x+y,-x,z'
'-y,-x,z'
'-x+y,y,z'
'x,x-y,z'
loop_
_atom_site_label
_atom_site_fract_x
_atom_site_fract_y
_atom_site_fract_z
Ce1 0.0000 0.0000 0.0000
Dy1 0.6667 0.3333 0.4521
Pb1 0.3333 0.6667 0.6419
```

- Magnetization: 1.8 μB/f.u.
- DFT total energy: -14.68 eV per cell
- Energy above the most stable polymorph in this dataset: 272 meV per atom
- Energy of formation from the pure elements: -0.15 eV per atom
- DOS at the Fermi energy: 7.62 states/eV per cell
- V: 91 Å³ per cell

10.
## CeDyPb2 (PBE-GGA)

Data for a geometry-optimized CeDyPb2 structure.

Geometry as CIF:
```
data_CeDyPb2
_space_group_name_H-M_alt 'P 4/m m m'
_space_group_IT_number 123
_space_group_name_Hall '-P 4 2'
_cell_length_a 5.073
_cell_length_b 5.073
_cell_length_c 4.500
_cell_angle_alpha 90.00
_cell_angle_beta 90.00
_cell_angle_gamma 90.00
loop_
_atom_site_label
_atom_site_fract_x
_atom_site_fract_y
_atom_site_fract_z
Ce1 0.000 0.000 0.000
Dy1 0.500 0.500 0.000
Pb1 0.000 0.500 0.500
```

- Magnetization: 1.5 μB/f.u.
- DFT total energy: -19.61 eV per cell
- Energy of formation from the pure elements: -0.41 eV per atom
- DOS at the Fermi energy: 8.21 states/eV per cell
- V: 116 Å³ per cell